Entry 1:
DFT (PBE) results for a relaxed structure of GeB2I.

crystal system = tetragonal
formation energy (no corrections) = 1030 meV/atom
V = 146.2 Å³/cell
VASP energy = -3.8510 eV/atom
distance to the lowest polymorph of the same formula = 0.00 kJ per mole of atoms
SG = I-42d (122)

The structure in POSCAR format:
```
GeB2I
1.0
-2.700 2.700 5.015
2.700 -2.700 5.015
2.700 2.700 -5.015
Ge B I
2 4 2
Cartesian
0.000 0.000 0.000
0.000 2.700 2.507
4.049 0.936 -1.254
0.936 1.350 1.254
-1.350 1.763 3.761
1.763 1.350 6.268
2.700 0.000 2.507
0.000 0.000 5.015
```

=====

Entry 2:
DFT (PBE) results for a relaxed structure of Re3Mo2.

formation energy from the elements = 81 kJ/mol of formula units
crystal system = orthorhombic
V = 155.1 Å³/cell
VASP energy = -11.6336 eV/atom
distance to the lowest polymorph of the same formula = 10.00 kJ per mole of atoms
SG = Fdd2 (43)

The structure in POSCAR format:
```
Re3Mo2
1.0
0.000 6.608 2.469
4.753 0.000 2.469
4.753 6.608 0.000
Re Mo
6 4
Cartesian
0.000 0.000 0.000
2.376 3.304 1.235
4.220 5.305 2.315
5.286 7.910 2.315
7.663 8.608 3.549
6.596 11.214 3.549
5.061 2.615 2.130
6.821 5.919 3.365
4.444 10.600 2.130
2.685 7.297 3.365
```

=====

Entry 3:
DFT (PBE) results for a relaxed structure of Ac6P5Br.

crystal system = monoclinic
formation energy (no corrections) = -1517 meV/atom
V = 374.7 Å³/cell
VASP energy = -5.9648 eV/atom
SG = C2/m (12)

The structure in POSCAR format:
```
Ac6P5Br
1.0
3.864 -6.682 0.000
3.864 6.682 0.000
-2.576 0.000 7.256
Ac P Br
6 5 1
Cartesian
-0.072 2.347 5.378
1.154 0.000 1.889
-0.072 -2.347 5.378
5.225 2.347 1.878
3.999 0.000 5.366
5.225 -2.347 1.878
-1.288 0.000 3.628
3.864 4.448 0.000
2.576 2.173 3.628
2.576 -2.173 3.628
3.864 -4.448 0.000
3.864 0.000 0.000
```

=====

Entry 4:
DFT (PBE) results for a relaxed structure of CoCuSnRu.

formation energy from the elements = 44 kJ/mol of formula units
crystal system = cubic
V = 57.1 Å³/cell
VASP energy = -6.0062 eV/atom
SG = F-43m (216)

The structure in POSCAR format:
```
CoCuSnRu
1.0
0.000 3.056 3.056
3.056 0.000 3.056
3.056 3.056 0.000
Co Cu Sn Ru
1 1 1 1
Cartesian
0.000 0.000 0.000
1.528 1.528 1.528
4.584 4.584 4.584
3.056 3.056 3.056
```

=====

Entry 5:
DFT (PBE) results for a relaxed structure of K2TaNi.

formation energy from the elements = 452 kJ/mol of formula units
crystal system = trigonal
V = 91.8 Å³/cell
VASP energy = -3.7859 eV/atom
distance to the lowest polymorph of the same formula = 57.00 kJ per mole of atoms
SG = R-3m (166)

The structure in POSCAR format:
```
K2TaNi
1.0
1.501 0.866 11.774
-1.501 0.866 11.774
0.000 -1.733 11.774
K Ta Ni
2 1 1
Cartesian
0.000 0.000 8.508
0.000 0.000 26.814
0.000 0.000 0.000
0.000 0.000 17.661
```

=====

Entry 6:
DFT (PBE) results for a relaxed structure of Sr2RhPb.

formation energy from the elements = -51 kJ/mol of formula units
crystal system = tetragonal
V = 105.4 Å³/cell
VASP energy = -3.7372 eV/atom
SG = I-4m2 (119)

The structure in POSCAR format:
```
Sr2RhPb
1.0
-2.653 2.653 3.745
2.653 -2.653 3.745
2.653 2.653 -3.745
Sr Rh Pb
2 1 1
Cartesian
0.000 0.000 0.000
0.000 2.653 1.872
2.653 0.000 1.872
0.000 0.000 3.745
```

=====

Entry 7:
DFT (PBE) results for a relaxed structure of Tl2ZnFePt.

formation energy from the elements = 462 kJ/mol of formula units
crystal system = tetragonal
V = 118.7 Å³/cell
VASP energy = -3.1435 eV/atom
SG = P4/mmm (123)

The structure in POSCAR format:
```
Tl2ZnFePt
1.0
5.076 0.000 0.000
0.000 5.076 0.000
0.000 0.000 4.604
Tl Zn Fe Pt
2 1 1 1
Cartesian
0.000 2.538 0.000
2.538 0.000 0.000
0.000 0.000 0.000
0.000 0.000 2.302
2.538 2.538 2.302
```

=====

Entry 8:
DFT (PBE) results for a relaxed structure of KCaSn4.

formation energy from the elements = -189 kJ/mol of formula units
crystal system = monoclinic
V = 209.6 Å³/cell
VASP energy = -3.5115 eV/atom
distance to the lowest polymorph of the same formula = 0.00 kJ per mole of atoms
SG = C2/m (12)

The structure in POSCAR format:
```
KCaSn4
1.0
3.873 -2.238 0.000
3.873 2.238 0.000
-2.563 0.000 12.089
K Ca Sn
1 1 4
Cartesian
0.000 0.000 0.000
2.591 0.000 6.045
0.007 0.000 3.995
2.590 0.000 2.607
2.593 0.000 9.483
5.176 0.000 8.094
```

=====

Entry 9:
DFT (PBE) results for a relaxed structure of HoSc2Sb2.

crystal system = monoclinic
formation energy (no corrections) = -593 meV/atom
V = 275.6 Å³/cell
VASP energy = -5.6904 eV/atom
SG = C2/c (15)

The structure in POSCAR format:
```
HoSc2Sb2
1.0
4.935 -5.753 0.000
4.935 5.753 0.000
-3.243 0.000 4.852
Ho Sc Sb
2 4 4
Cartesian
2.503 4.628 3.639
4.125 -4.628 1.213
3.100 1.087 0.137
1.479 -1.087 2.563
5.149 1.087 2.289
3.527 -1.087 4.715
4.125 3.691 1.213
2.503 1.459 3.639
4.125 -1.459 1.213
2.503 -3.691 3.639
```

=====

Entry 10:
DFT (PBE) results for a relaxed structure of Mn2SnSbPd4.

crystal system = trigonal
formation energy (no corrections) = -359 meV/atom
V = 133.8 Å³/cell
VASP energy = -6.2630 eV/atom
SG = R-3m (166)

The structure in POSCAR format:
```
Mn2SnSbPd4
1.0
2.276 1.314 7.451
-2.276 1.314 7.451
0.000 -2.629 7.451
Mn Sn Sb Pd
2 1 1 4
Cartesian
0.000 0.000 5.566
0.000 0.000 16.787
0.000 0.000 11.176
0.000 0.000 0.000
0.000 0.000 2.795
0.000 0.000 8.395
0.000 0.000 13.958
0.000 0.000 19.557
```

=====

Entry 11:
DFT (PBE) results for a relaxed structure of V3CrB2.

formation energy from the elements = -48 kJ/mol of formula units
crystal system = orthorhombic
V = 136.0 Å³/cell
VASP energy = -8.4725 eV/atom
SG = Ibam (72)

The structure in POSCAR format:
```
V3CrB2
1.0
-2.496 4.913 2.773
2.496 -4.913 2.773
2.496 4.913 -2.773
V Cr B
6 2 4
Cartesian
2.496 -2.042 1.386
0.000 0.000 1.386
2.496 2.042 1.386
0.000 2.871 1.386
0.000 0.000 4.159
0.000 6.955 1.386
2.496 0.000 0.000
0.000 4.913 0.000
0.928 1.405 0.000
0.928 -1.405 2.773
1.568 6.318 0.000
1.568 3.508 2.773
```

=====

Entry 12:
DFT (PBE) results for a relaxed structure of Cr2Ir.

formation energy from the elements = -10 kJ/mol of formula units
crystal system = tetragonal
V = 153.2 Å³/cell
VASP energy = -9.4051 eV/atom
SG = I4_1/amd (141)

The structure in POSCAR format:
```
Cr2Ir
1.0
-1.852 1.852 11.173
1.852 -1.852 11.173
1.852 1.852 -11.173
Cr Ir
8 4
Cartesian
1.852 -0.926 6.571
1.852 0.926 -2.825
1.852 -0.926 10.188
0.000 0.926 2.761
1.852 0.926 8.412
0.000 2.777 0.985
0.000 0.926 13.998
0.000 2.777 4.601
1.852 0.926 0.959
1.852 0.926 4.628
0.000 0.926 6.545
0.000 0.926 10.214
```

=====

Entry 13:
DFT (PBE) results for a relaxed structure of Cu2BPd.

formation energy from the elements = 183 kJ/mol of formula units
crystal system = tetragonal
V = 97.3 Å³/cell
VASP energy = -4.5423 eV/atom
SG = I-42d (122)

The structure in POSCAR format:
```
Cu2BPd
1.0
-1.653 1.653 8.903
1.653 -1.653 8.903
1.653 1.653 -8.903
Cu B Pd
4 2 2
Cartesian
2.480 0.790 -2.226
0.790 0.827 2.226
-0.827 0.863 6.677
0.863 0.827 11.128
0.000 0.000 0.000
0.000 1.653 4.451
1.653 0.000 4.451
0.000 0.000 8.903
```

=====

Entry 14:
DFT (PBE) results for a relaxed structure of LiTlGaGe.

formation energy from the elements = 10 kJ/mol of formula units
crystal system = cubic
V = 84.5 Å³/cell
VASP energy = -2.9555 eV/atom
SG = F-43m (216)

The structure in POSCAR format:
```
LiTlGaGe
1.0
0.000 3.483 3.483
3.483 0.000 3.483
3.483 3.483 0.000
Li Tl Ga Ge
1 1 1 1
Cartesian
0.000 0.000 0.000
5.225 5.225 5.225
3.483 3.483 3.483
1.742 1.742 1.742
```

=====

Entry 15:
DFT (PBE) results for a relaxed structure of HfICl3.

crystal system = cubic
formation energy (no corrections) = 822 meV/atom
V = 176.6 Å³/cell
VASP energy = -2.5870 eV/atom
distance to the lowest polymorph of the same formula = 226.70 kJ per mole of atoms
SG = Pm-3m (221)

The structure in POSCAR format:
```
HfICl3
1.0
5.611 0.000 0.000
0.000 5.611 0.000
0.000 0.000 5.611
Hf I Cl
1 1 3
Cartesian
0.000 0.000 0.000
2.805 2.805 2.805
0.000 2.805 2.805
2.805 0.000 2.805
2.805 2.805 0.000
```

=====

Entry 16:
DFT (PBE) results for a relaxed structure of Pm7Pb3.

formation energy from the elements = -363 kJ/mol of formula units
crystal system = hexagonal
V = 657.5 Å³/cell
VASP energy = -4.8142 eV/atom
SG = P6_3mc (186)

The structure in POSCAR format:
```
Pm7Pb3
1.0
10.888 0.000 0.000
-5.444 9.429 0.000
0.000 0.000 6.404
Pm Pb
14 6
Cartesian
-2.304 4.956 0.000
0.000 2.335 4.943
-3.422 8.261 4.943
2.022 1.168 1.741
0.000 6.286 3.891
2.304 4.956 0.000
0.000 8.946 0.000
5.444 0.483 3.202
3.140 4.473 3.202
5.444 3.143 0.689
3.422 8.261 4.943
8.865 1.168 1.741
5.444 7.094 1.741
7.748 4.473 3.202
0.000 3.673 1.902
-2.263 7.592 1.902
3.181 1.837 5.104
2.263 7.592 1.902
7.706 1.837 5.104
5.444 5.756 5.104
```

=====

Entry 17:
DFT (PBE) results for a relaxed structure of LiHo5In3.

formation energy from the elements = -298 kJ/mol of formula units
crystal system = hexagonal
V = 486.5 Å³/cell
VASP energy = -4.0114 eV/atom
SG = P6_3/mcm (193)

The structure in POSCAR format:
```
LiHo5In3
1.0
9.217 0.000 0.000
-4.609 7.982 0.000
0.000 0.000 6.612
Li Ho In
2 10 6
Cartesian
0.000 0.000 0.000
0.000 0.000 3.306
-1.413 2.447 1.653
-3.196 5.536 4.959
2.825 0.000 1.653
1.413 2.447 4.959
0.000 5.322 0.000
0.000 5.322 3.306
4.609 2.661 0.000
4.609 2.661 3.306
6.392 0.000 4.959
3.196 5.536 1.653
-1.632 2.826 4.959
-2.977 5.156 1.653
3.263 0.000 4.959
1.632 2.826 1.653
5.954 0.000 1.653
2.977 5.156 4.959
```

=====

Entry 18:
DFT (PBE) results for a relaxed structure of In2GaSb.

crystal system = cubic
formation energy (no corrections) = 75 meV/atom
V = 103.8 Å³/cell
VASP energy = -3.0811 eV/atom
distance to the lowest polymorph of the same formula = 2.28 kJ per mole of atoms
SG = Fm-3m (225)

The structure in POSCAR format:
```
In2GaSb
1.0
0.000 3.730 3.730
3.730 0.000 3.730
3.730 3.730 0.000
In Ga Sb
2 1 1
Cartesian
1.865 1.865 1.865
5.595 5.595 5.595
0.000 0.000 0.000
3.730 3.730 3.730
```

=====

Entry 19:
DFT (PBE) results for a relaxed structure of La8Ni2Pd.

formation energy from the elements = -188 kJ/mol of formula units
crystal system = monoclinic
V = 336.2 Å³/cell
VASP energy = -5.2837 eV/atom
SG = Cm (8)

The structure in POSCAR format:
```
La8Ni2Pd
1.0
4.172 -6.480 0.000
4.172 6.480 0.000
-2.135 0.000 6.217
La Ni Pd
8 2 1
Cartesian
0.000 0.000 0.000
2.379 2.631 1.083
4.092 4.622 3.481
3.083 1.753 5.130
2.379 -2.631 1.083
5.110 0.000 2.495
3.083 -1.753 5.130
4.092 -4.622 3.481
1.569 4.054 4.537
1.569 -4.054 4.537
2.163 0.000 2.639
```

=====

Entry 20:
DFT (PBE) results for a relaxed structure of PmDyCuRh.

formation energy from the elements = -206 kJ/mol of formula units
crystal system = orthorhombic
V = 88.9 Å³/cell
VASP energy = -5.7341 eV/atom
distance to the lowest polymorph of the same formula = 0.00 kJ per mole of atoms
SG = Amm2 (38)

The structure in POSCAR format:
```
PmDyCuRh
1.0
4.415 0.000 0.000
0.000 1.918 5.250
0.000 -1.918 5.250
Pm Dy Cu Rh
1 1 1 1
Cartesian
0.000 0.000 0.000
2.208 0.000 7.587
2.208 0.000 4.536
0.000 0.000 2.904
```

=====

Entry 21:
DFT (PBE) results for a relaxed structure of Sc2HgPt.

formation energy from the elements = -260 kJ/mol of formula units
crystal system = orthorhombic
V = 81.7 Å³/cell
VASP energy = -5.4243 eV/atom
SG = Imm2 (44)

The structure in POSCAR format:
```
Sc2HgPt
1.0
-1.739 2.285 5.139
1.739 -2.285 5.139
1.739 2.285 -5.139
Sc Hg Pt
2 1 1
Cartesian
0.000 0.000 0.000
0.000 2.285 2.245
1.739 0.000 2.855
0.000 0.000 5.290
```

=====

Entry 22:
DFT (PBE) results for a relaxed structure of CeErPu2Se4.

crystal system = monoclinic
formation energy (no corrections) = -1659 meV/atom
V = 200.0 Å³/cell
VASP energy = -8.2960 eV/atom
SG = P2/m (10)

The structure in POSCAR format:
```
CeErPu2Se4
1.0
7.151 0.000 0.000
0.000 4.123 0.000
-2.370 0.000 6.782
Ce Er Pu Se
1 1 2 4
Cartesian
0.000 0.000 0.000
-1.185 2.062 3.391
2.391 0.000 3.391
3.576 2.062 0.000
0.000 0.000 5.033
1.189 2.062 1.746
3.592 2.062 5.036
4.781 0.000 1.749
```

=====

Entry 23:
DFT (PBE) results for a relaxed structure of BaHo2Cd3.

formation energy from the elements = -170 kJ/mol of formula units
crystal system = tetragonal
V = 175.7 Å³/cell
VASP energy = -2.5973 eV/atom
SG = P4/mmm (123)

The structure in POSCAR format:
```
BaHo2Cd3
1.0
3.834 0.000 0.000
0.000 3.834 0.000
0.000 0.000 11.952
Ba Ho Cd
1 2 3
Cartesian
0.000 0.000 0.000
0.000 0.000 4.164
0.000 0.000 7.788
1.917 1.917 2.463
1.917 1.917 5.976
1.917 1.917 9.489
```

=====

Entry 24:
DFT (PBE) results for a relaxed structure of Zr2TaAs.

formation energy from the elements = 43 kJ/mol of formula units
crystal system = tetragonal
V = 170.3 Å³/cell
VASP energy = -8.2894 eV/atom
SG = I-42d (122)

The structure in POSCAR format:
```
Zr2TaAs
1.0
-4.002 4.002 2.657
4.002 -4.002 2.657
4.002 4.002 -2.657
Zr Ta As
4 2 2
Cartesian
6.003 1.642 -0.664
1.642 2.001 0.664
-2.001 2.360 1.993
2.360 2.001 3.322
4.002 0.000 1.329
0.000 0.000 2.657
0.000 0.000 0.000
0.000 4.002 1.329
```

=====

Entry 25:
DFT (PBE) results for a relaxed structure of KCuI2Br.

crystal system = tetragonal
formation energy (no corrections) = -654 meV/atom
V = 162.1 Å³/cell
VASP energy = -2.6473 eV/atom
SG = P4/mmm (123)

The structure in POSCAR format:
```
KCuI2Br
1.0
5.580 0.000 0.000
0.000 5.580 0.000
0.000 0.000 5.206
K Cu I Br
1 1 2 1
Cartesian
0.000 0.000 0.000
2.790 2.790 2.603
0.000 2.790 2.603
2.790 0.000 2.603
2.790 2.790 0.000
```